a:
Material: BPOsO2
Method: DFT, PBE
State: optimized geometry

- Fermi-level density of states (states/eV/f.u.) = 3.43

The structure in CIF format:
```
data_BPOsO2
_cell_length_a 3.152
_cell_length_b 3.152
_cell_length_c 8.322
_cell_angle_alpha 90.00
_cell_angle_beta 90.00
_cell_angle_gamma 90.00
_symmetry_space_group_name_H-M 'P 4/m m m'
_symmetry_Int_Tables_number 123
_symmetry_space_group_name_Hall '-P 4 2'
loop_
_atom_site_label
_atom_site_type_symbol
_atom_site_fract_x
_atom_site_fract_y
_atom_site_fract_z
B1 B 0.000 0.000 0.000
P1 P 0.000 0.000 0.500
Os1 Os 0.500 0.500 0.500
O1 O 0.000 0.500 0.000
```

b:
Material: BPOsO2
Method: DFT, PBE
State: optimized geometry

- Fermi-level density of states (states/eV/f.u.) = 4.45

The structure in CIF format:
```
data_BPOsO2
_cell_length_a 3.675
_cell_length_b 3.675
_cell_length_c 5.267
_cell_angle_alpha 90.00
_cell_angle_beta 90.00
_cell_angle_gamma 90.00
_symmetry_space_group_name_H-M 'P 4/m m m'
_symmetry_Int_Tables_number 123
_symmetry_space_group_name_Hall '-P 4 2'
loop_
_atom_site_label
_atom_site_type_symbol
_atom_site_fract_x
_atom_site_fract_y
_atom_site_fract_z
B1 B 0.000 0.000 0.000
P1 P 0.500 0.500 0.000
Os1 Os 0.500 0.500 0.500
O1 O 0.000 0.500 0.500
```

Energy relative to the most stable one, in meV/atom: a 0; b 198

a:
Material: B2PO6
Method: DFT, PBE
State: optimized geometry

- Fermi-level density of states (states/eV/f.u.) = 4.11

The structure in CIF format:
```
data_B2PO6
_cell_length_a 9.196
_cell_length_b 10.168
_cell_length_c 4.431
_cell_angle_alpha 90.00
_cell_angle_beta 117.94
_cell_angle_gamma 90.00
_symmetry_space_group_name_H-M 'C 1 2/c 1'
_symmetry_Int_Tables_number 15
_symmetry_space_group_name_Hall '-C 2yc'
loop_
_atom_site_label
_atom_site_type_symbol
_atom_site_fract_x
_atom_site_fract_y
_atom_site_fract_z
B1 B 0.225 0.084 0.288
P1 P 0.000 0.283 0.250
O1 O 0.103 0.371 0.562
O2 O 0.115 0.201 0.159
O3 O 0.182 0.004 0.506
```

b:
Material: B2PO6
Method: DFT, PBE
State: optimized geometry

- Fermi-level density of states (states/eV/f.u.) = 1.43

The structure in CIF format:
```
data_B2PO6
_cell_length_a 5.180
_cell_length_b 4.402
_cell_length_c 10.471
_cell_angle_alpha 90.00
_cell_angle_beta 113.44
_cell_angle_gamma 90.00
_symmetry_space_group_name_H-M 'P 1 21/c 1'
_symmetry_Int_Tables_number 14
_symmetry_space_group_name_Hall '-P 2ybc'
loop_
_atom_site_label
_atom_site_type_symbol
_atom_site_fract_x
_atom_site_fract_y
_atom_site_fract_z
B1 B 0.091 0.111 0.310
P1 P 0.500 0.000 0.000
O1 O 0.066 0.702 0.798
O2 O 0.277 0.212 0.438
O3 O 0.379 0.559 0.610
```

Energy relative to the most stable one, in meV/atom: a 0; b 335

a:
Material: BPO2
Method: DFT, PBE
State: optimized geometry

- Fermi-level density of states (states/eV/f.u.) = 0.40

The structure in CIF format:
```
data_BPO2
_cell_length_a 4.551
_cell_length_b 4.551
_cell_length_c 7.132
_cell_angle_alpha 90.00
_cell_angle_beta 90.00
_cell_angle_gamma 90.00
_symmetry_space_group_name_H-M 'I -4 2 d'
_symmetry_Int_Tables_number 122
_symmetry_space_group_name_Hall 'I -4 2bw'
loop_
_atom_site_label
_atom_site_type_symbol
_atom_site_fract_x
_atom_site_fract_y
_atom_site_fract_z
B1 B 0.000 0.000 0.000
P1 P 0.000 0.000 0.500
O1 O 0.076 0.250 0.125
```

b:
Material: BPO2
Method: DFT, PBE
State: optimized geometry

- Fermi-level density of states (states/eV/f.u.) = 0.43

The structure in CIF format:
```
data_BPO2
_cell_length_a 2.5314
_cell_length_b 2.5314
_cell_length_c 17.4064
_cell_angle_alpha 90.00
_cell_angle_beta 90.00
_cell_angle_gamma 120.00
_symmetry_space_group_name_H-M 'R -3 m'
_symmetry_Int_Tables_number 166
_symmetry_space_group_name_Hall '-R 3 2"'
loop_
_atom_site_label
_atom_site_type_symbol
_atom_site_fract_x
_atom_site_fract_y
_atom_site_fract_z
B1 B 0.0000 0.0000 0.0000
P1 P 0.0000 0.0000 0.5000
O1 O 0.0000 0.0000 0.3834
```

c:
Material: BPO2
Method: DFT, PBE
State: optimized geometry

- Fermi-level density of states (states/eV/f.u.) = 2.00

The structure in CIF format:
```
data_BPO2
_cell_length_a 5.263
_cell_length_b 5.263
_cell_length_c 5.263
_cell_angle_alpha 90.00
_cell_angle_beta 90.00
_cell_angle_gamma 90.00
_symmetry_space_group_name_H-M 'F m -3 m'
_symmetry_Int_Tables_number 225
_symmetry_space_group_name_Hall '-F 4 2 3'
loop_
_atom_site_label
_atom_site_type_symbol
_atom_site_fract_x
_atom_site_fract_y
_atom_site_fract_z
B1 B 0.000 0.000 0.000
P1 P 0.000 0.000 0.500
O1 O 0.250 0.250 0.250
```

Energy relative to the most stable one, in meV/atom: a 0; b 21; c 1858

a:
Material: BP2PdO
Method: DFT, PBE
State: optimized geometry

- Fermi-level density of states (states/eV/f.u.) = 3.59

The structure in CIF format:
```
data_BP2PdO
_cell_length_a 4.749
_cell_length_b 4.749
_cell_length_c 3.760
_cell_angle_alpha 90.00
_cell_angle_beta 90.00
_cell_angle_gamma 90.00
_symmetry_space_group_name_H-M 'P 4/m m m'
_symmetry_Int_Tables_number 123
_symmetry_space_group_name_Hall '-P 4 2'
loop_
_atom_site_label
_atom_site_type_symbol
_atom_site_fract_x
_atom_site_fract_y
_atom_site_fract_z
B1 B 0.000 0.000 0.000
P1 P 0.000 0.500 0.500
Pd1 Pd 0.500 0.500 0.500
O1 O 0.500 0.500 0.000
```

b:
Material: BP2PdO
Method: DFT, PBE
State: optimized geometry

- Fermi-level density of states (states/eV/f.u.) = 2.81

The structure in CIF format:
```
data_BP2PdO
_cell_length_a 4.726
_cell_length_b 4.726
_cell_length_c 2.763
_cell_angle_alpha 90.00
_cell_angle_beta 90.00
_cell_angle_gamma 90.00
_symmetry_space_group_name_H-M 'P 4/m m m'
_symmetry_Int_Tables_number 123
_symmetry_space_group_name_Hall '-P 4 2'
loop_
_atom_site_label
_atom_site_type_symbol
_atom_site_fract_x
_atom_site_fract_y
_atom_site_fract_z
B1 B 0.000 0.000 0.000
P1 P 0.000 0.500 0.000
Pd1 Pd 0.500 0.500 0.500
O1 O 0.000 0.000 0.500
```

Energy relative to the most stable one, in meV/atom: a 1366; b 0

a:
Material: BPPdO2
Method: DFT, PBE
State: optimized geometry

- Fermi-level density of states (states/eV/f.u.) = 3.15

The structure in CIF format:
```
data_BPPdO2
_cell_length_a 3.175
_cell_length_b 3.175
_cell_length_c 7.599
_cell_angle_alpha 90.00
_cell_angle_beta 90.00
_cell_angle_gamma 90.00
_symmetry_space_group_name_H-M 'P 4/m m m'
_symmetry_Int_Tables_number 123
_symmetry_space_group_name_Hall '-P 4 2'
loop_
_atom_site_label
_atom_site_type_symbol
_atom_site_fract_x
_atom_site_fract_y
_atom_site_fract_z
B1 B 0.000 0.000 0.000
P1 P 0.000 0.000 0.500
Pd1 Pd 0.500 0.500 0.500
O1 O 0.000 0.500 0.000
```

b:
Material: BPPdO2
Method: DFT, PBE
State: optimized geometry

- Fermi-level density of states (states/eV/f.u.) = 4.73

The structure in CIF format:
```
data_BPPdO2
_cell_length_a 3.766
_cell_length_b 3.766
_cell_length_c 5.154
_cell_angle_alpha 90.00
_cell_angle_beta 90.00
_cell_angle_gamma 90.00
_symmetry_space_group_name_H-M 'P 4/m m m'
_symmetry_Int_Tables_number 123
_symmetry_space_group_name_Hall '-P 4 2'
loop_
_atom_site_label
_atom_site_type_symbol
_atom_site_fract_x
_atom_site_fract_y
_atom_site_fract_z
B1 B 0.000 0.000 0.000
P1 P 0.500 0.500 0.000
Pd1 Pd 0.500 0.500 0.500
O1 O 0.000 0.500 0.500
```

Energy relative to the most stable one, in meV/atom: a 0; b 1203

a:
Material: RbBP2O
Method: DFT, PBE
State: optimized geometry

- Fermi-level density of states (states/eV/f.u.) = 5.35

The structure in CIF format:
```
data_RbBP2O
_cell_length_a 3.952
_cell_length_b 3.952
_cell_length_c 6.788
_cell_angle_alpha 90.00
_cell_angle_beta 90.00
_cell_angle_gamma 90.00
_symmetry_space_group_name_H-M 'P 4/m m m'
_symmetry_Int_Tables_number 123
_symmetry_space_group_name_Hall '-P 4 2'
loop_
_atom_site_label
_atom_site_type_symbol
_atom_site_fract_x
_atom_site_fract_y
_atom_site_fract_z
Rb1 Rb 0.000 0.000 0.000
B1 B 0.500 0.500 0.500
P1 P 0.000 0.500 0.500
O1 O 0.500 0.500 0.000
```

b:
Material: RbBP2O
Method: DFT, PBE
State: optimized geometry

- Fermi-level density of states (states/eV/f.u.) = 3.77

The structure in CIF format:
```
data_RbBP2O
_cell_length_a 5.639
_cell_length_b 5.639
_cell_length_c 4.396
_cell_angle_alpha 90.00
_cell_angle_beta 90.00
_cell_angle_gamma 90.00
_symmetry_space_group_name_H-M 'P 4/m m m'
_symmetry_Int_Tables_number 123
_symmetry_space_group_name_Hall '-P 4 2'
loop_
_atom_site_label
_atom_site_type_symbol
_atom_site_fract_x
_atom_site_fract_y
_atom_site_fract_z
Rb1 Rb 0.000 0.000 0.000
B1 B 0.500 0.500 0.500
P1 P 0.000 0.500 0.000
O1 O 0.000 0.000 0.500
```

Energy relative to the most stable one, in meV/atom: a 0; b 1981